Material: SmMgAgTe3
Method: DFT, PBE
State: relaxed

abc: 8.3496 4.2205 10.1750
angles: 90.00 102.15 90.00
Space group P2_1/m (No. 11)
Asymmetric unit:
Sm 0.1829 0.2500 0.1778 (multiplicity 2)
Mg 0.2878 0.7500 0.7152 (multiplicity 2)
Ag 0.4111 0.7500 0.4190 (multiplicity 2)
Te 0.1003 0.2500 0.8531 (multiplicity 2)
Te 0.2131 0.2500 0.4932 (multiplicity 2)
Te 0.4502 0.7500 0.1534 (multiplicity 2)

Computed properties:
ΔE to the lowest computed polymorph in kJ per mole of atoms: 0.00



Material: MgAgSn2
Method: DFT, PBE
State: relaxed

abc: 7.2092 7.2092 7.2092
angles: 90.00 90.00 90.00
Space group F-43m (No. 216)
Asymmetric unit:
Mg 0.0000 0.0000 0.0000 (multiplicity 4)
Ag 0.2500 0.2500 0.2500 (multiplicity 4)
Sn 0.0000 0.0000 0.5000 (multiplicity 4)
Sn 0.2500 0.2500 0.7500 (multiplicity 4)

Computed properties:
Electronic total energy in eV per atom: -3.059



Copy entry 1 word for word.
Material: SmMgAgTe3
Method: DFT, PBE
State: relaxed

abc: 8.3496 4.2205 10.1750
angles: 90.00 102.15 90.00
Space group P2_1/m (No. 11)
Asymmetric unit:
Sm 0.1829 0.2500 0.1778 (multiplicity 2)
Mg 0.2878 0.7500 0.7152 (multiplicity 2)
Ag 0.4111 0.7500 0.4190 (multiplicity 2)
Te 0.1003 0.2500 0.8531 (multiplicity 2)
Te 0.2131 0.2500 0.4932 (multiplicity 2)
Te 0.4502 0.7500 0.1534 (multiplicity 2)

Computed properties:
ΔE to the lowest computed polymorph in kJ per mole of atoms: 0.00



Copy entry 1 word for word.
Material: SmMgAgTe3
Method: DFT, PBE
State: relaxed

abc: 8.3496 4.2205 10.1750
angles: 90.00 102.15 90.00
Space group P2_1/m (No. 11)
Asymmetric unit:
Sm 0.1829 0.2500 0.1778 (multiplicity 2)
Mg 0.2878 0.7500 0.7152 (multiplicity 2)
Ag 0.4111 0.7500 0.4190 (multiplicity 2)
Te 0.1003 0.2500 0.8531 (multiplicity 2)
Te 0.2131 0.2500 0.4932 (multiplicity 2)
Te 0.4502 0.7500 0.1534 (multiplicity 2)

Computed properties:
ΔE to the lowest computed polymorph in kJ per mole of atoms: 0.00